[1]
FeCoCu2P | PBE-GGA | optimized geometry

For the theoretical density, the calculation gives 5.5 g cm⁻³. The value obtained for the formation energy is 1.111 eV/atom.

Unit cell a=4.3718 b=4.3718 c=4.2786 alpha=90.00 beta=90.00 gamma=90.00
Closest atoms and distances in Å follow each position.
Fractional coordinates of all 5 atoms:
Fe (0.0000, 0.0000, 0.0000)  2 Co 2.14
Co (0.0000, 0.0000, 0.5000)  2 Fe 2.14, 4 Cu 2.19
Cu (0.0000, 0.5000, 0.5000)  2 Co 2.19
Cu (0.5000, 0.0000, 0.5000)  2 Co 2.19
P (0.5000, 0.5000, 0.0000)  8 Cu 3.06, 4 Fe 3.09



[2]
HgHS | PBE-GGA | optimized geometry

For the theoretical density, the calculation gives 5.4 g cm⁻³. The energy relative to the lowest polymorph listed for this composition is 93.7 meV per atom.

Unit cell a=3.9183 b=4.7681 c=4.7702 alpha=67.06 beta=66.79 gamma=66.65
Closest atoms and distances in Å follow each position.
Fractional coordinates of all 3 atoms:
Hg (0.0000, 0.0000, 0.0000)  2 S 2.64, 2 H 2.93
H (0.6300, 0.5683, 0.5672)  1 S 1.35
S (0.0208, 0.4918, 0.4918)  1 H 1.35



[3]
AcPmZnOs | PBE-GGA | optimized geometry

For the theoretical density, the calculation gives 10.5 g cm⁻³. The value obtained for the formation energy is -0.023 eV/atom.

Unit cell a=7.3447 b=7.3447 c=7.3447 alpha=90.00 beta=90.00 gamma=90.00
Closest atoms and distances in Å follow each position.
Fractional coordinates of all 16 atoms:
Ac (0.0000, 0.0000, 0.0000)  4 Os 3.18, 4 Zn 3.18
Ac (0.0000, 0.5000, 0.5000)  4 Os 3.18, 4 Zn 3.18
Ac (0.5000, 0.0000, 0.5000)  4 Os 3.18, 4 Zn 3.18
Ac (0.5000, 0.5000, 0.0000)  4 Os 3.18, 4 Zn 3.18
Pm (0.0000, 0.0000, 0.5000)  4 Os 3.18, 4 Zn 3.18
Pm (0.0000, 0.5000, 0.0000)  4 Os 3.18, 4 Zn 3.18
Pm (0.5000, 0.0000, 0.0000)  4 Os 3.18, 4 Zn 3.18
Pm (0.5000, 0.5000, 0.5000)  4 Os 3.18, 4 Zn 3.18
Zn (0.2500, 0.2500, 0.7500)  4 Ac 3.18, 4 Pm 3.18
Zn (0.2500, 0.7500, 0.2500)  4 Ac 3.18, 4 Pm 3.18
Zn (0.7500, 0.2500, 0.2500)  4 Ac 3.18, 4 Pm 3.18
Zn (0.7500, 0.7500, 0.7500)  4 Ac 3.18, 4 Pm 3.18
Os (0.2500, 0.2500, 0.2500)  4 Ac 3.18, 4 Pm 3.18
Os (0.2500, 0.7500, 0.7500)  4 Ac 3.18, 4 Pm 3.18
Os (0.7500, 0.2500, 0.7500)  4 Ac 3.18, 4 Pm 3.18
Os (0.7500, 0.7500, 0.2500)  4 Ac 3.18, 4 Pm 3.18



[4]
Cs2Ac2IrO6 | PBE-GGA | optimized geometry

For the theoretical density, the calculation gives 7.0 g cm⁻³. The calculation puts the uncorrected formation energy at -186.6 kJ per mole of atoms.

Unit cell a=6.2458 b=6.2458 c=7.2214 alpha=96.56 beta=96.56 gamma=119.01
Closest atoms and distances in Å follow each position.
Fractional coordinates of all 11 atoms:
Cs (0.1610, 0.8390, 0.0000)  4 O 2.99-3.06
Cs (0.8390, 0.1610, 0.0000)  4 O 2.99-3.06
Ac (0.3364, 0.6636, 0.5000)  6 O 2.50-2.55
Ac (0.6636, 0.3364, 0.5000)  6 O 2.50-2.55
Ir (0.0000, 0.0000, 0.5000)  6 O 2.09-2.12
O (0.0393, 0.3313, 0.6542)  1 Ir 2.12
O (0.2315, 0.2315, 0.3338)  1 Ir 2.09
O (0.3313, 0.0393, 0.6542)  1 Ir 2.12
O (0.6687, 0.9607, 0.3458)  1 Ir 2.12
O (0.7685, 0.7685, 0.6662)  1 Ir 2.09
O (0.9607, 0.6687, 0.3458)  1 Ir 2.12